VASP calculation (PBE) on Os2Pb2O5 after structural relaxation.

Calculated values
Symmetry ... P4/mmm, No. 123
Electronic total energy ... -5.23 eV/atom

a b c (Å): 4.347 4.347 6.830
angles (deg): 90.00 90.00 90.00
Element x y z (fractional)
Os 0.000 0.000 0.000
Os 0.000 0.000 0.500
Pb 0.500 0.500 0.202
Pb 0.500 0.500 0.798
O 0.000 0.500 0.241
O 0.000 0.500 0.759
O 0.500 0.000 0.241
O 0.500 0.000 0.759
O 0.500 0.500 0.500